! PBE-GGA Pm2Pr6Ho3Mg, relaxed; values from VASP
! Energy relative to the elements   0.012 eV/atom
! Space group   C2/m
! Energy   -4.45 eV per atom
&SYSTEM
  ibrav = 0, nat = 12, ntyp = 4
/
ATOMIC_SPECIES
Pr 140.91 Pr.upf
Ho 164.93 Ho.upf
Pm 145.00 Pm.upf
Mg 24.30 Mg.upf
CELL_PARAMETERS angstrom
6.285 -0.003 -0.008
-3.143 5.442 -0.008
-1.034 -1.790 11.740
ATOMIC_POSITIONS crystal
Pr 0.414 0.083 0.252
Pr 0.752 0.752 0.253
Pr 0.248 0.248 0.747
Pr 0.586 0.917 0.748
Pr 0.083 0.414 0.252
Pr 0.917 0.586 0.748
Ho 0.834 0.166 0.500
Ho 0.500 0.500 0.500
Ho 0.166 0.834 0.500
Pm 0.667 0.333 0.000
Pm 0.333 0.667 0.000
Mg 0.000 0.000 0.000